Record 1
This record from the Alexandria database describes crystalline K2TlIn4Pb3 at its relaxed geometry. The functional is PBE-GGA.

For the calculated volume, the calculation gives 34.7 Å³/atom. The calculation puts the theoretical density at 6.53 g cm⁻³. The value obtained for the density of states at the Fermi level is 4.18 states/eV/f.u. The total energy comes out at -2.75 eV per atom.

The structure belongs to space group P-4m2 (No. 115); the cell edges are 5.252, 5.252 and 12.563 Å and the angles 90.00°, 90.00° and 90.00°. Symmetry generates all atoms from K at (0.000, 0.500, 0.248), Tl at (0.000, 0.000, 0.500), In at (0.000, 0.000, 0.000), In at (0.000, 0.500, 0.632), In at (0.500, 0.500, 0.000), Pb at (0.000, 0.500, 0.868) and Pb at (0.500, 0.500, 0.500).

Record 2
This record from the Alexandria database describes crystalline K2Zn2Te at its relaxed geometry. The functional is PBE-GGA.

For the calculated volume, the calculation gives 37.6 Å³/atom. The calculation puts the theoretical density at 2.97 g cm⁻³. The value obtained for the density of states at the Fermi level is 0.21 states/eV/f.u. The formation energy without anion corrections comes out at -0.126 eV/atom. For the distance to the lowest polymorph of the same formula, the calculation gives 91.8 meV per atom.

The structure belongs to space group I4/mmm (No. 139); the cell edges are 6.360, 6.360 and 9.295 Å and the angles 90.00°, 90.00° and 90.00°. Symmetry generates all atoms from K at (0.000, 0.500, 0.250), Zn at (0.000, 0.000, 0.147) and Te at (0.000, 0.000, 0.500).

Record 3
This record from the Alexandria database describes crystalline FeBi3C at its relaxed geometry. The functional is PBE-GGA.

For the calculated volume, the calculation gives 23.4 Å³/atom. The calculation puts the theoretical density at 9.86 g cm⁻³. The value obtained for the density of states at the Fermi level is 6.71 states/eV/f.u. For the distance to the lowest polymorph of the same formula, the calculation gives 0.0 meV per atom.

The structure belongs to space group Pm-3m (No. 221); the cell edges are 4.891, 4.891 and 4.891 Å and the angles 90.00°, 90.00° and 90.00°. Symmetry generates all atoms from Fe at (0.000, 0.000, 0.000), Bi at (0.000, 0.500, 0.500) and C at (0.500, 0.500, 0.500).

- Among the records above, which one has the lowest theoretical density?
  K2Zn2Te

- The lowest theoretical density belongs to which entry?
  K2Zn2Te

- The lowest theoretical density belongs to which entry?
  K2Zn2Te